DFT (GGA-PBE) results for a relaxed Mg2AlPt2 crystal.

Summary:
Total magnetic moment = 0.0 μB/cell
VASP energy = -43.522 eV for the cell shown
Polymorph energy (0 for the lowest one) = 0.299 eV per atom

Cell: 7.655 7.655 2.868 Å, 90.00 90.00 90.00°
Space group P4/mbm (No. 127)
One atom of each set of equivalent atoms:
Mg (0.130, 0.370, 0.000) x4
Al (0.000, 0.000, 0.000) x2
Pt (0.167, 0.667, 0.500) x4